## LiSm2Zn4Ga3 (PBE-GGA)

Data for an optimized crystal structure of LiSm2Zn4Ga3.

Results
VASP energy (eV/atom): -2.973
Symmetry: P-4m2, No. 115
N(E_F) (states/eV per atom): 0.533
Magnetization (μB/f.u.): 0.00
Formation energy from the elements (meV per atom): -420

```
10
Lattice="4.234 0.000 0.000 0.000 4.234 0.000 0.000 0.000 10.583" Properties=species:S:1:pos:R:3 pbc="T T T"
Li 0.000 0.000 0.000
Sm 0.000 2.117 7.881
Sm 2.117 0.000 2.702
Zn 0.000 0.000 5.291
Zn 0.000 2.117 1.368
Zn 2.117 0.000 9.215
Zn 2.117 2.117 5.291
Ga 0.000 2.117 3.815
Ga 2.117 0.000 6.768
Ga 2.117 2.117 0.000
```